Entry 1:
{
  "formula": "Nd2ErGa2Ag2",
  "functional": "PBE-GGA",
  "state": "optimized geometry",
  "cell": [[-0.4049, -0.2801, 4.5925], [3.1836, -2.2628, 2.4653], [5.7531, 6.9238, 3.2522]],
  "species": ["Nd", "Nd", "Er", "Ga", "Ga", "Ag", "Ag"],
  "frac_coords": [[0.1244, 0.1244, 0.6268], [0.8756, 0.8756, 0.3732], [0.0000, 0.0000, 0.0000], [0.7353, 0.7353, 0.7942], [0.2647, 0.2647, 0.2058], [0.6097, 0.6097, 0.1710], [0.3903, 0.3903, 0.8290]],
  "vol_a3_per_atom": 24.3,
  "dos_ef_per_ev_cell": 5.6,
  "energy_ev_per_atom": -4.0655
}

Entry 2:
{
  "formula": "NdEr2Ga2Ag2",
  "functional": "PBE-GGA",
  "state": "optimized geometry",
  "cell": [[4.6473, 0.0000, 0.0000], [2.3237, 4.0247, 0.0000], [2.3237, 1.3416, 8.8951]],
  "species": ["Nd", "Er", "Er", "Ga", "Ga", "Ag", "Ag"],
  "frac_coords": [[0.0000, 0.0000, 0.0000], [0.1273, 0.1273, 0.6181], [0.8727, 0.8727, 0.3819], [0.7459, 0.7459, 0.7624], [0.2541, 0.2541, 0.2376], [0.5938, 0.5938, 0.2185], [0.4062, 0.4062, 0.7815]],
  "vol_a3_per_atom": 23.8,
  "dos_ef_per_ev_cell": 4.4,
  "energy_ev_per_atom": -4.0395
}

Entry 3:
{
  "formula": "ErGaNiAg",
  "functional": "PBE-GGA",
  "state": "optimized geometry",
  "cell": [[-1.9866, 2.1197, 3.6139], [-3.3143, -2.1593, 2.4193], [0.8624, -1.4714, 4.3118]],
  "species": ["Ni", "Ga", "Ag", "Er"],
  "frac_coords": [[0.7500, 0.7500, 0.7500], [0.5000, 0.5000, 0.5000], [0.2500, 0.2500, 0.2500], [0.0000, 0.0000, 0.0000]],
  "vol_a3_per_atom": 17.6,
  "dos_ef_per_ev_cell": 3.0,
  "energy_ev_per_atom": -4.3616
}

Entry 4:
{
  "formula": "ErGaAg2O4",
  "functional": "PBE-GGA",
  "state": "optimized geometry",
  "cell": [[-1.1381, 1.5364, -2.6764], [-4.5226, 1.6956, 2.8965], [1.4987, 5.7870, 2.6848]],
  "species": ["Er", "Ga", "Ag", "Ag", "O", "O", "O", "O"],
  "frac_coords": [[0.5000, 0.5000, 0.0000], [0.0000, 0.0000, 0.0000], [0.5000, 0.0000, 0.5000], [0.0000, 0.5000, 0.5000], [0.5000, 0.0867, 0.1654], [0.5000, 0.9133, 0.8346], [0.0000, 0.3616, 0.8361], [0.0000, 0.6384, 0.1639]],
  "vol_a3_per_atom": 14.5,
  "formation_energy_uncorrected_ev_per_atom": -1.697
}

Entry 5:
{
  "formula": "ErGaAgPd",
  "functional": "PBE-GGA",
  "state": "optimized geometry",
  "cell": [[-2.3597, 0.9220, 3.9980], [2.1094, -0.6248, 4.1908], [1.1838, 3.7488, 2.6359]],
  "species": ["Ga", "Pd", "Ag", "Er"],
  "frac_coords": [[0.5000, 0.5000, 0.5000], [0.7500, 0.7500, 0.7500], [0.2500, 0.2500, 0.2500], [0.0000, 0.0000, 0.0000]],
  "vol_a3_per_atom": 18.7,
  "dos_ef_per_ev_cell": 3.0,
  "energy_ev_per_atom": -4.4491
}

Entry 6:
{
  "formula": "Er4GaAg2Pd",
  "functional": "PBE-GGA",
  "state": "optimized geometry",
  "cell": [[5.0305, 0.0000, 0.0000], [2.5153, 4.3566, 0.0000], [2.5153, 1.4522, 8.2155]],
  "species": ["Er", "Er", "Er", "Er", "Ga", "Ag", "Ag", "Pd"],
  "frac_coords": [[0.3777, 0.3777, 0.8669], [0.8728, 0.8728, 0.3815], [0.1272, 0.1272, 0.6185], [0.6223, 0.6223, 0.1331], [0.0000, 0.0000, 0.0000], [0.7465, 0.7465, 0.7604], [0.2535, 0.2535, 0.2396], [0.5000, 0.5000, 0.5000]],
  "vol_a3_per_atom": 22.5,
  "dos_ef_per_ev_cell": 6.0,
  "energy_ev_per_atom": -4.5700
}

Entry 7:
{
  "formula": "ErGa2AgPd2",
  "functional": "PBE-GGA",
  "state": "optimized geometry",
  "cell": [[-3.5237, -2.1347, 1.6256], [0.6041, 0.2621, -4.3798], [3.3376, -5.4052, 0.1369]],
  "species": ["Er", "Ga", "Ga", "Ag", "Pd", "Pd"],
  "frac_coords": [[0.0000, 0.0000, 0.0000], [0.3333, 0.6667, 0.7100], [0.6667, 0.3333, 0.2900], [0.0000, 0.0000, 0.5000], [0.3333, 0.6667, 0.2757], [0.6667, 0.3333, 0.7243]],
  "vol_a3_per_atom": 18.0,
  "dos_ef_per_ev_cell": 2.7,
  "energy_ev_per_atom": -4.6038
}

Entry 8:
{
  "formula": "PmErGaAg",
  "functional": "PBE-GGA",
  "state": "optimized geometry",
  "cell": [[5.1618, 0.0000, 0.0000], [2.5809, 4.4703, 0.0000], [2.5809, 1.4901, 4.2146]],
  "species": ["Pm", "Ga", "Ag", "Er"],
  "frac_coords": [[0.0000, 0.0000, 0.0000], [0.7500, 0.7500, 0.7500], [0.2500, 0.2500, 0.2500], [0.5000, 0.5000, 0.5000]],
  "vol_a3_per_atom": 24.3,
  "dos_ef_per_ev_cell": 3.5,
  "energy_ev_per_atom": -4.2343
}

Entry 9:
{
  "formula": "PmEr2Ga2Ag2",
  "functional": "PBE-GGA",
  "state": "optimized geometry",
  "cell": [[-3.4598, 0.7719, 2.9878], [-4.3930, -0.0367, -1.4808], [-3.1109, -8.4648, 2.1813]],
  "species": ["Pm", "Er", "Er", "Ga", "Ga", "Ag", "Ag"],
  "frac_coords": [[0.0000, 0.0000, 0.0000], [0.1270, 0.1270, 0.6190], [0.8730, 0.8730, 0.3810], [0.7453, 0.7453, 0.7642], [0.2547, 0.2547, 0.2358], [0.5954, 0.5954, 0.2139], [0.4046, 0.4046, 0.7861]],
  "vol_a3_per_atom": 23.6,
  "dos_ef_per_ev_cell": 4.3,
  "energy_ev_per_atom": -4.0364
}

Entry 10:
{
  "formula": "Pm2ErGa2Ag2",
  "functional": "PBE-GGA",
  "state": "optimized geometry",
  "cell": [[-3.2934, -1.9806, 2.5506], [-2.0514, -3.8589, -1.4749], [4.5404, -6.9440, 4.6409]],
  "species": ["Pm", "Pm", "Er", "Ga", "Ga", "Ag", "Ag"],
  "frac_coords": [[0.1245, 0.1245, 0.6264], [0.8755, 0.8755, 0.3736], [0.0000, 0.0000, 0.0000], [0.7366, 0.7366, 0.7903], [0.2634, 0.2634, 0.2097], [0.6086, 0.6086, 0.1742], [0.3914, 0.3914, 0.8258]],
  "vol_a3_per_atom": 24.0,
  "dos_ef_per_ev_cell": 5.5,
  "energy_ev_per_atom": -4.0609
}

Entry 11:
{
  "formula": "Er2Ga4AgPt3",
  "functional": "PBE-GGA",
  "state": "optimized geometry",
  "cell": [[4.1482, 0.0000, 0.0000], [0.0000, 4.1482, 0.0000], [0.0000, 0.0000, 10.9753]],
  "species": ["Er", "Er", "Ga", "Ga", "Ga", "Ga", "Ag", "Pt", "Pt", "Pt"],
  "frac_coords": [[0.5000, 0.0000, 0.2393], [0.0000, 0.5000, 0.7607], [0.5000, 0.5000, 0.0000], [0.0000, 0.0000, 0.0000], [0.5000, 0.0000, 0.6387], [0.0000, 0.5000, 0.3613], [0.5000, 0.5000, 0.5000], [0.0000, 0.0000, 0.5000], [0.5000, 0.0000, 0.8621], [0.0000, 0.5000, 0.1379]],
  "vol_a3_per_atom": 18.9,
  "dos_ef_per_ev_cell": 4.2,
  "energy_ev_per_atom": -5.0175
}

Entry 12:
{
  "formula": "ErPuGaAg",
  "functional": "PBE-GGA",
  "state": "optimized geometry",
  "cell": [[5.1131, 0.0000, 0.0000], [2.5566, 4.4281, 0.0000], [2.5566, 1.4760, 4.1748]],
  "species": ["Er", "Ga", "Ag", "Pu"],
  "frac_coords": [[0.5000, 0.5000, 0.5000], [0.7500, 0.7500, 0.7500], [0.2500, 0.2500, 0.2500], [0.0000, 0.0000, 0.0000]],
  "vol_a3_per_atom": 23.6,
  "dos_ef_per_ev_cell": 8.5,
  "energy_ev_per_atom": -6.4280
}

Entry 13:
{
  "formula": "ErGaAgRh",
  "functional": "PBE-GGA",
  "state": "optimized geometry",
  "cell": [[-1.2221, 4.4643, 0.6777], [-3.6559, 1.7989, -2.2981], [-3.9394, 1.0223, 2.3062]],
  "species": ["Rh", "Ga", "Ag", "Er"],
  "frac_coords": [[0.7500, 0.7500, 0.7500], [0.5000, 0.5000, 0.5000], [0.2500, 0.2500, 0.2500], [0.0000, 0.0000, 0.0000]],
  "vol_a3_per_atom": 18.1,
  "dos_ef_per_ev_cell": 2.9,
  "energy_ev_per_atom": -4.9311
}